The following is a SCAN calculation of Ca3Hg at its PBEsol-relaxed geometry, from the Alexandria database.

The calculation puts the total moment at 0.00 μB per cell. As for the formation enthalpy at 0 K: -0.3649 eV per atom.

The structure belongs to space group Cmcm (No. 63); the cell edges are 9.6497, 12.4062 and 4.5312 Å and the angles 90.00°, 90.00° and 90.00°. The distinct sites, in fractional coordinates, are Ca at (0.0000, 0.1132, 0.2500), Ca at (0.1970, 0.3725, 0.2500) and Hg at (0.0000, 0.2803, 0.7500).

***

The following is a SCAN calculation of Ca3Hg5 at its PBEsol-relaxed geometry, from the Alexandria database.

The calculation puts the total moment at 0.00 μB per cell. As for the formation enthalpy at 0 K: -0.5835 eV per atom.

The structure belongs to space group Cmmm (No. 65); the cell edges are 7.7027, 10.1424 and 5.0615 Å and the angles 90.00°, 90.00° and 90.00°. The distinct sites, in fractional coordinates, are Ca at (0.0000, 0.0000, 0.0000), Ca at (0.0000, 0.2821, 0.5000), Hg at (0.0000, 0.5000, 0.0000), Hg at (0.2176, 0.0000, 0.5000) and Hg at (0.2500, 0.2500, 0.0000).

***

The following is a SCAN calculation of CaHoHg2 at its PBEsol-relaxed geometry, from the Alexandria database.

The calculation puts the total moment at 0.00 μB per cell. As for the formation enthalpy at 0 K: -0.7247 eV per atom.

The structure belongs to space group Fm-3m (No. 225); the cell edges are 7.3172, 7.3172 and 7.3172 Å and the angles 90.00°, 90.00° and 90.00°. The distinct sites, in fractional coordinates, are Ca at (0.0000, 0.0000, 0.0000), Ho at (0.0000, 0.0000, 0.5000) and Hg at (0.2500, 0.2500, 0.2500).

***

The following is a SCAN calculation of CaHgI3 at its PBEsol-relaxed geometry, from the Alexandria database.

For the formation energy (no corrections), the calculation gives -0.783 eV/atom. The calculation puts the total moment at 0.85 μB per cell.

The structure belongs to space group Pm-3m (No. 221); the cell edges are 5.9849, 5.9849 and 5.9849 Å and the angles 90.00°, 90.00° and 90.00°. The distinct sites, in fractional coordinates, are Ca at (0.0000, 0.0000, 0.0000), Hg at (0.5000, 0.5000, 0.5000) and I at (0.0000, 0.0000, 0.5000).

***

The following is a SCAN calculation of CaHg2I2 at its PBEsol-relaxed geometry, from the Alexandria database.

For the formation energy (no corrections), the calculation gives -0.783 eV/atom. The calculation puts the total moment at 0.00 μB per cell.

The structure belongs to space group P4/mbm (No. 127); the cell edges are 8.0139, 8.0139 and 6.0348 Å and the angles 90.00°, 90.00° and 90.00°. The distinct sites, in fractional coordinates, are Ca at (0.0000, 0.0000, 0.0000), Hg at (0.1356, 0.3644, 0.5000) and I at (0.1674, 0.6674, 0.0000).

***

The following is a SCAN calculation of Ca2HgI at its PBEsol-relaxed geometry, from the Alexandria database.

For the formation energy (no corrections), the calculation gives -0.724 eV/atom. The calculation puts the total moment at 0.00 μB per cell.

The structure belongs to space group I-42d (No. 122); the cell edges are 8.1881, 8.1881 and 7.9102 Å and the angles 90.00°, 90.00° and 90.00°. The distinct sites, in fractional coordinates, are Ca at (0.2358, 0.7500, 0.1250), Hg at (0.0000, 0.0000, 0.0000) and I at (0.0000, 0.0000, 0.5000).